The following is a DFT calculation (PBE) of a relaxed Hg2MoPd crystal.

abc: 4.713 4.713 4.713
angles: 60.00 60.00 60.00
Last column: magnetic moment on the atom in μB.
Element x y z (fractional)
Mo (0.000, 0.000, 0.000)  2.02
Hg (0.250, 0.250, 0.250)  0.01
Hg (0.750, 0.750, 0.750)  0.01
Pd (0.500, 0.500, 0.500)  0.07

For the energy above the most stable polymorph in this dataset, the calculation gives 0.00 eV/f.u. As for the formation enthalpy at 0 K: 444 meV per atom.

---

The following is a DFT calculation (PBE) of a relaxed CsLi2ThSe4 crystal.

abc: 7.481 7.001 7.001
angles: 61.97 57.70 57.70
Element x y z (fractional)
Se (0.897, 0.518, 0.105)
Se (0.479, 0.105, 0.518)
Th (0.500, 0.500, 0.500)
Cs (0.000, 0.000, 0.000)
Se (0.521, 0.482, 0.895)
Li (0.752, 0.748, 0.748)
Se (0.103, 0.895, 0.482)
Li (0.248, 0.252, 0.252)

The raw formation energy comes out at -8.9 eV/f.u.